Computed, not measured: an optimized crystal structure of NiB2Pt at the GGA-PBE level of DFT.

## Properties
The symmetry is I-42d, No. 122. The calculation puts the energy above the most stable polymorph in this dataset at 0.0 meV per atom. As for the density of states at the Fermi level: 5.5 states/eV per cell. The total energy comes out at -0.221 Ha/atom. The calculation puts the formation energy at 0.281 eV/atom. The magnetization is 0.0 μB per formula unit.

abc: 4.595 4.595 9.489
angles: 90.00 90.00 90.00
Fractional coordinates of all 16 atoms:
Ni  0.000  0.000  0.000
Ni  0.000  0.500  0.250
Ni  0.500  0.000  0.750
Ni  0.500  0.500  0.500
B  0.233  0.250  0.125
B  0.250  0.733  0.375
B  0.250  0.767  0.875
B  0.267  0.250  0.625
B  0.733  0.750  0.625
B  0.750  0.233  0.875
B  0.750  0.267  0.375
B  0.767  0.750  0.125
Pt  0.000  0.000  0.500
Pt  0.000  0.500  0.750
Pt  0.500  0.000  0.250
Pt  0.500  0.500  0.000